The following is a GGA-PBE calculation of a relaxed structure of YErTe, from the Alexandria database.

a = 5.1347 Å, b = 5.1347 Å, c = 3.9708 Å
α = 90.00°, β = 90.00°, γ = 120.00°
Closest atoms and distances in Å follow each position.
Fractional coordinates of all 3 atoms:
1 Y 0.0000 0.0000 0.0000  3 Te 3.14
2 Er 0.6667 0.3333 0.4897  3 Te 3.10
3 Te 0.3333 0.6667 0.2595  3 Er 3.10, 3 Y 3.14

Values from the calculation:
Polymorph energy (0 for the lowest one)   0.371 eV/atom
Space group   P3m1, No. 156
Total magnetic moment   0.00 Bohr magnetons per cell
ρ   7.03 g/cm³